VASP calculation (PBE-GGA) on an optimized crystal structure of Al2Cr6Ga.

a b c (Å): 2.504 7.170 12.762
angles (deg): 90.00 90.00 90.00
Space group Immm (No. 71)
Asymmetric unit:
Al (0.000, 0.000, 0.156) x4
Cr (0.000, 0.169, 0.334) x8
Cr (0.000, 0.327, 0.500) x4
Ga (0.000, 0.500, 0.000) x2

## Properties
Formation energy from the elements: 0.158 eV/atom
Total magnetic moment: 0.00 μB/cell
Density of states at the Fermi level: 19.8 states/eV/cell